Below is a relaxed structure of LaYTa2, with properties calculated at the PBE level.

Properties
* raw total energy: -8.23 eV per atom
* ΔE to the lowest computed polymorph: 120 kJ/mol of formula units
* density of states at the Fermi level: 5.96 states/eV/f.u.

Unit cell a=7.219 b=7.219 c=7.219 alpha=90.00 beta=90.00 gamma=90.00
Space group F-43m (No. 216)
Symmetry-distinct sites (fractional):
1 La 0.000 0.000 0.000 x4
2 Y 0.250 0.250 0.250 x4
3 Ta 0.000 0.000 0.500 x4
4 Ta 0.250 0.250 0.750 x4

***

Below is a relaxed structure of LaYTa2, with properties calculated at the PBE level.

Properties
* raw total energy: -8.21 eV per atom
* ΔE to the lowest computed polymorph: 125 kJ/mol of formula units
* density of states at the Fermi level: 4.75 states/eV/f.u.

Unit cell a=4.290 b=4.315 c=10.262 alpha=90.00 beta=90.00 gamma=90.00
Space group Cmmm (No. 65)
Symmetry-distinct sites (fractional):
1 La 0.000 0.000 0.000 x2
2 Y 0.000 0.000 0.500 x2
3 Ta 0.000 0.500 0.256 x4

***

Below is a relaxed structure of LaY2Ta, with properties calculated at the PBE level.

Properties
* raw total energy: -7.06 eV per atom
* ΔE to the lowest computed polymorph: 36 kJ/mol of formula units
* density of states at the Fermi level: 5.45 states/eV/f.u.

Unit cell a=3.351 b=4.806 c=6.951 alpha=90.00 beta=90.10 gamma=90.00
Space group P2/m (No. 10)
Symmetry-distinct sites (fractional):
1 La 0.000 0.000 0.000 x1
2 Y 0.500 0.500 0.278 x2
3 Ta 0.000 0.000 0.500 x1

***

Below is a relaxed structure of LaY2Ta, with properties calculated at the PBE level.

Properties
* raw total energy: -7.03 eV per atom
* ΔE to the lowest computed polymorph: 47 kJ/mol of formula units
* density of states at the Fermi level: 6.50 states/eV/f.u.

Unit cell a=4.857 b=4.857 c=9.491 alpha=90.00 beta=90.00 gamma=90.00
Space group I4/mmm (No. 139)
Symmetry-distinct sites (fractional):
1 La 0.000 0.000 0.000 x2
2 Y 0.000 0.500 0.250 x4
3 Ta 0.000 0.000 0.500 x2

***

no.,spin magnetization (μB per cell),energy of formation (meV per atom)
1,0.00,548
2,0.00,560
3,0.00,364
4,0.00,394